Record 1
Here is an optimized crystal structure of SrLi2SbO from Alexandria via LeMat-Bulk. Energies are from PBE.

Values from the calculation:
Raw total energy: -20.58 eV/cell
Uncorrected formation energy: -1.20 eV/atom
Total magnetization: 0.002 μB per formula unit
Crystal system: tetragonal

CIF file:
```
data_SrLi2SbO
_chemical_formula_sum 'Sr1 Li2 Sb1 O1'
_space_group_name_H-M_alt 'P 4/m m m'
_space_group_IT_number 123
_space_group_name_Hall '-P 4 2'
_cell_length_a 4.579
_cell_length_b 4.579
_cell_length_c 4.854
_cell_angle_alpha 90.00
_cell_angle_beta 90.00
_cell_angle_gamma 90.00
loop_
_atom_site_label
_atom_site_type_symbol
_atom_site_fract_x
_atom_site_fract_y
_atom_site_fract_z
Sr1 Sr 0.000 0.000 0.000
Li1 Li 0.000 0.500 0.500
Sb1 Sb 0.500 0.500 0.000
O1 O 0.000 0.000 0.500
```

=====

Record 2
Here is an optimized crystal structure of Sr3LiSb2O6 from Alexandria via LeMat-Bulk. Energies are from PBE.

Values from the calculation:
Raw total energy: -69.54 eV/cell
Uncorrected formation energy: -2.05 eV/atom
Total magnetization: 0.000 μB per formula unit
Crystal system: trigonal

CIF file:
```
data_Sr3LiSb2O6
_chemical_formula_sum 'Sr3 Li1 Sb2 O6'
_space_group_name_H-M_alt 'P -3 m 1'
_space_group_IT_number 164
_space_group_name_Hall '-P 3 2"'
_cell_length_a 5.8327
_cell_length_b 5.8327
_cell_length_c 6.6177
_cell_angle_alpha 90.00
_cell_angle_beta 90.00
_cell_angle_gamma 120.00
loop_
_atom_site_label
_atom_site_type_symbol
_atom_site_fract_x
_atom_site_fract_y
_atom_site_fract_z
Sr1 Sr 0.0000 0.0000 0.0000
Sr2 Sr 0.3333 0.6667 0.6168
Li1 Li 0.0000 0.0000 0.5000
Sb1 Sb 0.3333 0.6667 0.1318
O1 O 0.1712 0.3424 0.3016
```

=====

Record 3
Here is an optimized crystal structure of Sr2LiSbO from Alexandria via LeMat-Bulk. Energies are from PBE.

Values from the calculation:
Raw total energy: -22.41 eV/cell
Uncorrected formation energy: -1.61 eV/atom
Total magnetization: 0.000 μB per formula unit
Crystal system: tetragonal

CIF file:
```
data_Sr2LiSbO
_chemical_formula_sum 'Sr2 Li1 Sb1 O1'
_space_group_name_H-M_alt 'P 4/m m m'
_space_group_IT_number 123
_space_group_name_Hall '-P 4 2'
_cell_length_a 5.139
_cell_length_b 5.139
_cell_length_c 4.492
_cell_angle_alpha 90.00
_cell_angle_beta 90.00
_cell_angle_gamma 90.00
loop_
_atom_site_label
_atom_site_type_symbol
_atom_site_fract_x
_atom_site_fract_y
_atom_site_fract_z
Sr1 Sr 0.000 0.500 0.000
Li1 Li 0.000 0.000 0.500
Sb1 Sb 0.500 0.500 0.500
O1 O 0.000 0.000 0.000
```

=====

Record 4
Here is an optimized crystal structure of Sr2LiSbO6 from Alexandria via LeMat-Bulk. Energies are from PBE.

Values from the calculation:
Raw total energy: -57.09 eV/cell
Uncorrected formation energy: -1.79 eV/atom
Total magnetization: 2.029 μB per formula unit
Crystal system: trigonal

CIF file:
```
data_Sr2LiSbO6
_chemical_formula_sum 'Sr2 Li1 Sb1 O6'
_space_group_name_H-M_alt 'P -3 m 1'
_space_group_IT_number 164
_space_group_name_Hall '-P 3 2"'
_cell_length_a 5.4922
_cell_length_b 5.4922
_cell_length_c 5.1384
_cell_angle_alpha 90.00
_cell_angle_beta 90.00
_cell_angle_gamma 120.00
loop_
_atom_site_label
_atom_site_type_symbol
_atom_site_fract_x
_atom_site_fract_y
_atom_site_fract_z
Sr1 Sr 0.3333 0.6667 0.3122
Li1 Li 0.0000 0.0000 0.5000
Sb1 Sb 0.0000 0.0000 0.0000
O1 O 0.1644 0.3287 0.7561
```

=====

Record 5
Here is an optimized crystal structure of Sr4LiSb3O12 from Alexandria via LeMat-Bulk. Energies are from PBE.

Values from the calculation:
Raw total energy: -246.81 eV/cell
Uncorrected formation energy: -2.14 eV/atom
Total magnetization: 0.000 μB per formula unit
Crystal system: cubic

CIF file:
```
data_Sr4LiSb3O12
_chemical_formula_sum 'Sr8 Li2 Sb6 O24'
_space_group_name_H-M_alt 'I m -3 m'
_space_group_IT_number 229
_space_group_name_Hall '-I 4 2 3'
_cell_length_a 8.141
_cell_length_b 8.141
_cell_length_c 8.141
_cell_angle_alpha 90.00
_cell_angle_beta 90.00
_cell_angle_gamma 90.00
loop_
_atom_site_label
_atom_site_type_symbol
_atom_site_fract_x
_atom_site_fract_y
_atom_site_fract_z
Sr1 Sr 0.250 0.250 0.250
Li1 Li 0.000 0.000 0.000
Sb1 Sb 0.000 0.000 0.500
O1 O 0.000 0.000 0.264
O2 O 0.000 0.250 0.500
```

=====

Record 6
Here is an optimized crystal structure of Sr2Li2SbO6 from Alexandria via LeMat-Bulk. Energies are from PBE.

Values from the calculation:
Raw total energy: -188.57 eV/cell
Uncorrected formation energy: -1.98 eV/atom
Total magnetization: 0.937 μB per formula unit
Crystal system: trigonal

CIF file:
```
data_Sr2Li2SbO6
_chemical_formula_sum 'Sr6 Li6 Sb3 O18'
_space_group_name_H-M_alt 'R -3 m'
_space_group_IT_number 166
_space_group_name_Hall '-R 3 2"'
_cell_length_a 5.8053
_cell_length_b 5.8053
_cell_length_c 15.3024
_cell_angle_alpha 90.00
_cell_angle_beta 90.00
_cell_angle_gamma 120.00
loop_
_atom_site_label
_atom_site_type_symbol
_atom_site_fract_x
_atom_site_fract_y
_atom_site_fract_z
Sr1 Sr 0.0000 0.0000 0.2220
Li1 Li 0.0000 0.0000 0.4242
Sb1 Sb 0.0000 0.0000 0.0000
O1 O 0.0227 0.5113 0.7478
```